PmNdGaSb | PBE | relaxed

a b c (Å): 7.5966 7.5966 7.5966
angles (deg): 90.00 90.00 90.00
Last column: nearest neighbours and their distance in Å.
Sites, in units of the cell vectors:
1 Pm 0.0000 0.0000 0.0000  4 Sb 3.29, 4 Ga 3.29
2 Pm 0.0000 0.5000 0.5000  4 Sb 3.29, 4 Ga 3.29
3 Pm 0.5000 0.0000 0.5000  4 Sb 3.29, 4 Ga 3.29
4 Pm 0.5000 0.5000 0.0000  4 Sb 3.29, 4 Ga 3.29
5 Nd 0.0000 0.0000 0.5000  4 Sb 3.29, 4 Ga 3.29
6 Nd 0.0000 0.5000 0.0000  4 Sb 3.29, 4 Ga 3.29
7 Nd 0.5000 0.0000 0.0000  4 Sb 3.29, 4 Ga 3.29
8 Nd 0.5000 0.5000 0.5000  4 Sb 3.29, 4 Ga 3.29
9 Ga 0.2500 0.2500 0.2500  4 Nd 3.29, 4 Pm 3.29
10 Ga 0.2500 0.7500 0.7500  4 Nd 3.29, 4 Pm 3.29
11 Ga 0.7500 0.2500 0.7500  4 Nd 3.29, 4 Pm 3.29
12 Ga 0.7500 0.7500 0.2500  4 Nd 3.29, 4 Pm 3.29
13 Sb 0.2500 0.2500 0.7500  4 Nd 3.29, 4 Pm 3.29
14 Sb 0.2500 0.7500 0.2500  4 Nd 3.29, 4 Pm 3.29
15 Sb 0.7500 0.2500 0.2500  4 Nd 3.29, 4 Pm 3.29
16 Sb 0.7500 0.7500 0.7500  4 Nd 3.29, 4 Pm 3.29

Values from the calculation:
SG = F-43m (216)
E = -4.786 eV/atom
uncorrected formation energy = -60 kJ per mole of atoms
calculated density = 7.28 g/cm3
total magnetization = 0.00 μB per formula unit